1.
This record from Alexandria describes a relaxed Cs4HfO4 crystal. The functional is GGA-PBE.

Properties
E_form (uncorrected) ... -2.048 eV per atom
Magnetization ... 0.01 μB per cell
Calculated volume ... 248.2 Å³/f.u.

Unit cell a=11.866 b=7.480 c=11.997 alpha=90.00 beta=111.19 gamma=90.00
Fractional positions:
Cs 0.055 0.088 0.192
Cs 0.055 0.412 0.692
Cs 0.158 0.608 0.094
Cs 0.158 0.892 0.594
Cs 0.364 0.653 0.891
Cs 0.364 0.847 0.391
Cs 0.433 0.176 0.799
Cs 0.433 0.324 0.299
Cs 0.567 0.676 0.701
Cs 0.567 0.824 0.201
Cs 0.636 0.153 0.609
Cs 0.636 0.347 0.109
Cs 0.842 0.108 0.406
Cs 0.842 0.392 0.906
Cs 0.945 0.588 0.308
Cs 0.945 0.912 0.808
Hf 0.245 0.130 0.996
Hf 0.245 0.370 0.496
Hf 0.755 0.630 0.504
Hf 0.755 0.870 0.004
O 0.086 0.237 0.975
O 0.086 0.263 0.475
O 0.230 0.506 0.350
O 0.230 0.994 0.850
O 0.295 0.523 0.640
O 0.295 0.977 0.140
O 0.367 0.178 0.524
O 0.367 0.322 0.024
O 0.633 0.678 0.976
O 0.633 0.822 0.476
O 0.705 0.023 0.860
O 0.705 0.477 0.360
O 0.770 0.006 0.150
O 0.770 0.494 0.650
O 0.914 0.737 0.525
O 0.914 0.763 0.025

---

2.
This record from Alexandria describes a relaxed LaFeTe3 crystal. The functional is GGA-PBE.

Properties
E_form (uncorrected) ... -0.443 eV per atom
Magnetization ... 2.79 μB per cell
Calculated volume ... 140.5 Å³/f.u.

Unit cell a=5.198 b=5.198 c=5.198 alpha=90.00 beta=90.00 gamma=90.00
Fractional positions:
La 0.000 0.000 0.000
Fe 0.500 0.500 0.500
Te 0.000 0.500 0.500
Te 0.500 0.000 0.500
Te 0.500 0.500 0.000

---

3.
This record from Alexandria describes a relaxed SrAlGaAg2 crystal. The functional is GGA-PBE.

Properties
Magnetization ... 0.00 μB per cell
Calculated volume ... 113.0 Å³/f.u.
Formation energy from the elements ... -0.277 eV per atom

Unit cell a=6.476 b=6.476 c=6.476 alpha=140.03 beta=139.20 gamma=58.44
Fractional positions:
Sr 0.000 0.000 0.000
Al 0.250 0.750 0.500
Ga 0.382 0.382 0.000
Ag 0.614 0.614 0.000
Ag 0.766 0.266 0.500

---

4.
This record from Alexandria describes a relaxed TlTcPb3 crystal. The functional is GGA-PBE.

Properties
Magnetization ... 0.74 μB per cell
Calculated volume ... 155.1 Å³/f.u.
Formation energy from the elements ... 0.350 eV per atom

Unit cell a=5.373 b=5.373 c=5.373 alpha=90.00 beta=90.00 gamma=90.00
Fractional positions:
Tl 0.000 0.000 0.000
Tc 0.500 0.500 0.500
Pb 0.000 0.500 0.500
Pb 0.500 0.000 0.500
Pb 0.500 0.500 0.000

---

5.
This record from Alexandria describes a relaxed LaGa4Ag2Pd crystal. The functional is GGA-PBE.

Properties
Magnetization ... 0.00 μB per cell
Calculated volume ... 155.2 Å³/f.u.
Formation energy from the elements ... -0.368 eV per atom

Unit cell a=9.463 b=9.463 c=9.463 alpha=27.11 beta=27.11 gamma=27.11
Fractional positions:
La 0.000 0.000 0.000
Ga 0.131 0.131 0.131
Ga 0.401 0.401 0.401
Ga 0.599 0.599 0.599
Ga 0.869 0.869 0.869
Ag 0.240 0.240 0.240
Ag 0.760 0.760 0.760
Pd 0.500 0.500 0.500

---

6.
This record from Alexandria describes a relaxed Na2MgAs crystal. The functional is GGA-PBE.

Properties
Magnetization ... 0.00 μB per cell
Calculated volume ... 93.1 Å³/f.u.
Formation energy from the elements ... -0.120 eV per atom

Unit cell a=5.087 b=5.087 c=5.087 alpha=60.00 beta=60.00 gamma=60.00
Fractional positions:
Na 0.250 0.250 0.250
Na 0.750 0.750 0.750
Mg 0.000 0.000 0.000
As 0.500 0.500 0.500

---

7.
This record from Alexandria describes a relaxed Y3GaPt8 crystal. The functional is GGA-PBE.

Properties
Magnetization ... 0.00 μB per cell
Calculated volume ... 226.2 Å³/f.u.
Formation energy from the elements ... -0.961 eV per atom

Unit cell a=9.395 b=9.395 c=9.395 alpha=33.60 beta=33.60 gamma=33.60
Fractional positions:
Y 0.000 0.000 0.000
Y 0.131 0.131 0.131
Y 0.610 0.610 0.610
Ga 0.475 0.475 0.475
Pt 0.056 0.561 0.561
Pt 0.060 0.060 0.565
Pt 0.060 0.565 0.060
Pt 0.311 0.311 0.311
Pt 0.561 0.056 0.561
Pt 0.561 0.561 0.056
Pt 0.565 0.060 0.060
Pt 0.812 0.812 0.812

---

8.
This record from Alexandria describes a relaxed Er4GaSe3 crystal. The functional is GGA-PBE.

Properties
E_form (uncorrected) ... -1.476 eV per atom
Magnetization ... 0.00 μB per cell
Calculated volume ... 189.8 Å³/f.u.

Unit cell a=5.747 b=5.747 c=5.747 alpha=90.00 beta=90.00 gamma=90.00
Fractional positions:
Er 0.000 0.000 0.000
Er 0.000 0.500 0.500
Er 0.500 0.000 0.500
Er 0.500 0.500 0.000
Ga 0.500 0.500 0.500
Se 0.000 0.000 0.500
Se 0.000 0.500 0.000
Se 0.500 0.000 0.000

---

9.
This record from Alexandria describes a relaxed RbPa2Br2O5 crystal. The functional is GGA-PBE.

Properties
E_form (uncorrected) ... -2.495 eV per atom
Magnetization ... 0.88 μB per cell
Calculated volume ... 197.5 Å³/f.u.

Unit cell a=10.998 b=10.998 c=3.267 alpha=90.00 beta=90.00 gamma=90.00
Fractional positions:
Rb 0.000 0.000 0.000
Rb 0.500 0.500 0.000
Pa 0.120 0.380 0.000
Pa 0.380 0.880 0.000
Pa 0.620 0.120 0.000
Pa 0.880 0.620 0.000
Br 0.179 0.679 0.000
Br 0.321 0.179 0.000
Br 0.679 0.821 0.000
Br 0.821 0.321 0.000
O 0.000 0.500 0.500
O 0.073 0.260 0.500
O 0.240 0.427 0.500
O 0.260 0.927 0.500
O 0.427 0.760 0.500
O 0.500 0.000 0.500
O 0.573 0.240 0.500
O 0.740 0.073 0.500
O 0.760 0.573 0.500
O 0.927 0.740 0.500

---

10.
This record from Alexandria describes a relaxed IrPtSe2 crystal. The functional is GGA-PBE.

Properties
E_form (uncorrected) ... 0.023 eV per atom
Magnetization ... 0.00 μB per cell
Calculated volume ... 85.8 Å³/f.u.

Unit cell a=7.694 b=7.694 c=7.694 alpha=27.51 beta=27.51 gamma=27.51
Fractional positions:
Ir 0.000 0.000 0.000
Pt 0.500 0.500 0.500
Se 0.393 0.393 0.393
Se 0.607 0.607 0.607

---

11.
This record from Alexandria describes a relaxed K5TlF8 crystal. The functional is GGA-PBE.

Properties
E_form (uncorrected) ... -2.487 eV per atom
Magnetization ... 0.11 μB per cell
Calculated volume ... 235.8 Å³/f.u.

Unit cell a=6.741 b=6.741 c=6.741 alpha=109.61 beta=109.61 gamma=109.19
Fractional positions:
K 0.000 0.000 0.000
K 0.111 0.243 0.626
K 0.515 0.889 0.133
K 0.618 0.485 0.374
K 0.757 0.382 0.867
Tl 0.250 0.750 0.500
F 0.049 0.647 0.728
F 0.241 0.528 0.152
F 0.353 0.081 0.401
F 0.376 0.088 0.848
F 0.472 0.624 0.713
F 0.679 0.951 0.599
F 0.912 0.759 0.287
F 0.919 0.321 0.272

---

12.
This record from Alexandria describes a relaxed K3Np2O4F3 crystal. The functional is GGA-PBE.

Properties
E_form (uncorrected) ... -2.681 eV per atom
Magnetization ... 6.00 μB per cell
Calculated volume ... 232.1 Å³/f.u.

Unit cell a=12.024 b=12.024 c=12.024 alpha=159.35 beta=157.74 gamma=30.54
Fractional positions:
K 0.000 0.000 0.000
K 0.197 0.197 0.000
K 0.803 0.803 0.000
Np 0.396 0.396 0.000
Np 0.604 0.604 0.000
O 0.310 0.310 0.000
O 0.404 0.904 0.500
O 0.596 0.096 0.500
O 0.690 0.690 0.000
F 0.088 0.588 0.500
F 0.500 0.500 0.000
F 0.912 0.412 0.500